## TmZr2Mn (GGA-PBE)

Data for an optimized crystal structure of TmZr2Mn.

a = 3.2254 Å, b = 3.2254 Å, c = 8.2554 Å
α = 90.00°, β = 90.00°, γ = 90.00°
Atoms (fractional coordinates):
Mn 0.5000 0.5000 0.0000
Tm 0.5000 0.5000 0.5000
Zr 0.0000 0.0000 0.8148
Zr 0.0000 0.0000 0.1852

Output
Size of the total moment, μB/cell: 0.01
Space group: P4/mmm, No. 123
Excess energy over the best structure of this formula in the dataset, kJ/mol of formula units: 0
Calculated total energy, eV for the cell shown: -30.4
Energy of formation from the pure elements, eV/atom: 0.092